# PBE-GGA Sr2LiZn, optimized geometry
# M_tot in μB/cell: 0.0
# E_tot in eV/atom: -1.491
# DOS at the Fermi energy in states/eV per cell: 16.28
data_Sr2LiZn
_cell_length_a 8.948
_cell_length_b 8.948
_cell_length_c 7.586
_cell_angle_alpha 90.00
_cell_angle_beta 90.00
_cell_angle_gamma 90.00
_symmetry_space_group_name_H-M 'I -4 2 d'
_symmetry_Int_Tables_number 122
_symmetry_space_group_name_Hall 'I -4 2bw'
loop_
_atom_site_label
_atom_site_fract_x
_atom_site_fract_y
_atom_site_fract_z
Sr1 0.225 0.250 0.125
Li1 0.000 0.000 0.500
Zn1 0.000 0.000 0.000